## A
12
Lattice="4.398 -6.624 0.000 4.398 6.624 0.000 -1.904 0.000 5.717" Properties=species:S:1:pos:R:3 comment="Dy4InIr (PBE-GGA, relaxed)" space_group=C2/c magmom_total_mub_per_cell=0.0 pbc="T T T"
Dy 1.623 4.364 5.412
Dy 1.290 0.991 3.550
Dy 4.317 4.364 3.163
Dy 2.241 -0.991 0.692
Dy 4.651 0.991 5.025
Dy 2.575 -4.364 2.553
Dy 5.603 -0.991 2.167
Dy 5.269 -4.364 0.305
In 3.922 1.648 1.429
In 2.970 -1.648 4.288
Ir 3.922 6.619 1.429
Ir 2.970 -6.619 4.288

***

## B
24
Lattice="0.000 6.832 6.832 6.832 0.000 6.832 6.832 6.832 0.000" Properties=species:S:1:pos:R:3 comment="Dy4InIr (PBE-GGA, relaxed)" space_group=F-43m magmom_total_mub_per_cell=0.0 pbc="T T T"
Dy 3.416 3.416 0.792
Dy 3.416 0.792 3.416
Dy 6.040 3.416 3.416
Dy 6.832 6.832 2.593
Dy 6.832 2.593 6.832
Dy 11.071 6.832 6.832
Dy 8.185 5.479 5.479
Dy 0.792 3.416 3.416
Dy 3.416 6.040 3.416
Dy 3.416 3.416 6.040
Dy 5.479 8.185 5.479
Dy 5.479 5.479 8.185
Dy 8.185 8.185 8.185
Dy 2.593 6.832 6.832
Dy 6.832 11.071 6.832
Dy 6.832 6.832 11.071
In 11.382 9.113 9.113
In 9.113 11.382 9.113
In 9.113 9.113 11.382
In 11.382 11.382 11.382
Ir 5.343 5.343 5.343
Ir 8.321 8.321 5.343
Ir 8.321 5.343 8.321
Ir 5.343 8.321 8.321

***

Looking at the structures above, which would you pick as the most stable? I would pick B.